Entry P
Entry from OQMD via LeMat-Bulk: a relaxed structure of Hf3Ni2As4Pd2 (PBE).

The structure in CIF format:
```
data_Hf3Ni2As4Pd2
_cell_length_a 6.4655
_cell_length_b 3.8530
_cell_length_c 7.5524
_cell_angle_alpha 90.00
_cell_angle_beta 91.41
_cell_angle_gamma 90.00
_space_group_name_H-M_alt 'P 1'
_space_group_IT_number 1
loop_
_space_group_symop_operation_xyz
'x,y,z'
loop_
_atom_site_label
_atom_site_fract_x
_atom_site_fract_y
_atom_site_fract_z
Hf1 0.0000 0.0000 0.0000
Hf2 0.0651 0.5000 0.3692
Hf3 0.5011 0.0000 0.8664
Ni1 0.3902 0.0000 0.2364
Ni2 0.6813 0.5000 0.1234
As1 0.3007 0.5000 0.0716
As2 0.3253 0.0000 0.5427
As3 0.7650 0.0000 0.2969
As4 0.7749 0.5000 0.8119
Pd1 0.1829 0.5000 0.7439
Pd2 0.9006 0.0000 0.6131
```

Values from the calculation:
magnetic moment: 0.0 μB per formula unit


Entry Q
Entry from OQMD via LeMat-Bulk: a relaxed structure of Hf3Ni2As4Pd2 (PBE).

The structure in CIF format:
```
data_Hf3Ni2As4Pd2
_cell_length_a 6.5520
_cell_length_b 3.8612
_cell_length_c 7.4456
_cell_angle_alpha 90.00
_cell_angle_beta 90.70
_cell_angle_gamma 90.00
_space_group_name_H-M_alt 'P 1'
_space_group_IT_number 1
loop_
_space_group_symop_operation_xyz
'x,y,z'
loop_
_atom_site_label
_atom_site_fract_x
_atom_site_fract_y
_atom_site_fract_z
Hf1 0.0000 0.0000 0.0000
Hf2 0.0731 0.5000 0.6152
Hf3 0.5604 0.5000 0.4861
Ni1 0.1525 0.5000 0.2512
Ni2 0.9128 0.0000 0.3634
As1 0.2843 0.5000 0.9512
As2 0.2858 0.0000 0.3978
As3 0.7774 0.5000 0.1969
As4 0.7870 0.0000 0.6669
Pd1 0.3763 0.0000 0.7437
Pd2 0.6789 0.5000 0.8735
```

Values from the calculation:
magnetic moment: 0.0 μB per formula unit


Stability summary: most stable entry Q, least stable entry P.


Entry P
Entry from OQMD via LeMat-Bulk: a relaxed structure of Hf2ZrNiAs4Pd3 (PBE).

The structure in CIF format:
```
data_Hf2ZrNiAs4Pd3
_cell_length_a 6.6121
_cell_length_b 3.9133
_cell_length_c 7.5913
_cell_angle_alpha 90.00
_cell_angle_beta 90.10
_cell_angle_gamma 90.00
_space_group_name_H-M_alt 'P 1'
_space_group_IT_number 1
loop_
_space_group_symop_operation_xyz
'x,y,z'
loop_
_atom_site_label
_atom_site_fract_x
_atom_site_fract_y
_atom_site_fract_z
Hf1 0.0000 0.0000 0.0000
Hf2 0.4372 0.5000 0.5138
Zr1 0.5113 0.0000 0.1351
Ni1 0.5952 0.0000 0.7623
As1 0.1987 0.0000 0.6986
As2 0.2191 0.5000 0.1939
As3 0.7182 0.0000 0.4641
As4 0.7316 0.5000 0.9165
Pd1 0.1124 0.0000 0.3838
Pd2 0.3398 0.5000 0.8782
Pd3 0.8170 0.5000 0.2592
```

Values from the calculation:
magnetic moment: 0.0 μB per formula unit


Entry Q
Entry from OQMD via LeMat-Bulk: a relaxed structure of Hf2ZrNiAs4Pd3 (PBE).

The structure in CIF format:
```
data_Hf2ZrNiAs4Pd3
_cell_length_a 6.5468
_cell_length_b 3.9113
_cell_length_c 7.6319
_cell_angle_alpha 90.00
_cell_angle_beta 90.54
_cell_angle_gamma 90.00
_space_group_name_H-M_alt 'P 1'
_space_group_IT_number 1
loop_
_space_group_symop_operation_xyz
'x,y,z'
loop_
_atom_site_label
_atom_site_fract_x
_atom_site_fract_y
_atom_site_fract_z
Hf1 0.0000 0.0000 0.0000
Hf2 0.4981 0.0000 0.1399
Zr1 0.5722 0.5000 0.5120
Ni1 0.8914 0.0000 0.3720
As1 0.2739 0.0000 0.4539
As2 0.2737 0.5000 0.9389
As3 0.7901 0.5000 0.2086
As4 0.8274 0.0000 0.6808
Pd1 0.1816 0.5000 0.2635
Pd2 0.4102 0.0000 0.7633
Pd3 0.6867 0.5000 0.8868
```

Values from the calculation:
magnetic moment: 0.0 μB per formula unit


Stability summary: most stable entry P, least stable entry Q.


Entry P
Entry from OQMD via LeMat-Bulk: a relaxed structure of HfZr2Ni2As4Pd2 (PBE).

The structure in CIF format:
```
data_HfZr2Ni2As4Pd2
_cell_length_a 6.5103
_cell_length_b 3.8724
_cell_length_c 7.5722
_cell_angle_alpha 90.00
_cell_angle_beta 91.23
_cell_angle_gamma 90.00
_space_group_name_H-M_alt 'P 1'
_space_group_IT_number 1
loop_
_space_group_symop_operation_xyz
'x,y,z'
loop_
_atom_site_label
_atom_site_fract_x
_atom_site_fract_y
_atom_site_fract_z
Hf1 0.0000 0.0000 0.0000
Zr1 0.4395 0.5000 0.4967
Zr2 0.9381 0.5000 0.6321
Ni1 0.3248 0.5000 0.8694
Ni2 0.6169 0.0000 0.7576
As1 0.2398 0.0000 0.7028
As2 0.2569 0.5000 0.1732
As3 0.6987 0.5000 0.9287
As4 0.7153 0.0000 0.4437
Pd1 0.1188 0.0000 0.3711
Pd2 0.8360 0.5000 0.2429
```

Values from the calculation:
magnetic moment: 0.0 μB per formula unit


Entry Q
Entry from OQMD via LeMat-Bulk: a relaxed structure of HfZr2Ni2As4Pd2 (PBE).

The structure in CIF format:
```
data_HfZr2Ni2As4Pd2
_cell_length_a 6.5223
_cell_length_b 3.8827
_cell_length_c 7.5362
_cell_angle_alpha 90.00
_cell_angle_beta 90.31
_cell_angle_gamma 90.00
_space_group_name_H-M_alt 'P 1'
_space_group_IT_number 1
loop_
_space_group_symop_operation_xyz
'x,y,z'
loop_
_atom_site_label
_atom_site_fract_x
_atom_site_fract_y
_atom_site_fract_z
Hf1 0.0000 0.0000 0.0000
Zr1 0.0696 0.5000 0.6295
Zr2 0.5672 0.5000 0.4873
Ni1 0.6908 0.5000 0.8689
Ni2 0.8936 0.0000 0.3708
As1 0.2821 0.0000 0.4303
As2 0.3017 0.5000 0.9459
As3 0.7586 0.5000 0.1797
As4 0.7807 0.0000 0.6855
Pd1 0.1521 0.5000 0.2491
Pd2 0.3962 0.0000 0.7598
```

Values from the calculation:
magnetic moment: 0.0 μB per formula unit


Stability summary: most stable entry P, least stable entry Q.


Entry P
Entry from OQMD via LeMat-Bulk: a relaxed structure of HfZr2Ni2As4Pd2 (PBE).

The structure in CIF format:
```
data_HfZr2Ni2As4Pd2
_cell_length_a 6.5488
_cell_length_b 3.8843
_cell_length_c 7.4660
_cell_angle_alpha 90.00
_cell_angle_beta 90.25
_cell_angle_gamma 90.00
_space_group_name_H-M_alt 'P 1'
_space_group_IT_number 1
loop_
_space_group_symop_operation_xyz
'x,y,z'
loop_
_atom_site_label
_atom_site_fract_x
_atom_site_fract_y
_atom_site_fract_z
Hf1 0.0000 0.0000 0.0000
Zr1 0.4918 0.0000 0.8559
Zr2 0.9351 0.5000 0.3752
Ni1 0.0857 0.0000 0.6280
Ni2 0.6065 0.0000 0.2336
As1 0.2170 0.5000 0.7756
As2 0.2287 0.0000 0.3279
As3 0.6855 0.0000 0.5431
As4 0.7058 0.5000 0.0684
Pd1 0.3103 0.5000 0.1216
Pd2 0.8239 0.5000 0.7459
```

Values from the calculation:
magnetic moment: 0.0 μB per formula unit


Entry Q
Entry from OQMD via LeMat-Bulk: a relaxed structure of HfZr2Ni2As4Pd2 (PBE).

The structure in CIF format:
```
data_HfZr2Ni2As4Pd2
_cell_length_a 6.5810
_cell_length_b 3.8910
_cell_length_c 7.4667
_cell_angle_alpha 90.00
_cell_angle_beta 90.83
_cell_angle_gamma 90.00
_space_group_name_H-M_alt 'P 1'
_space_group_IT_number 1
loop_
_space_group_symop_operation_xyz
'x,y,z'
loop_
_atom_site_label
_atom_site_fract_x
_atom_site_fract_y
_atom_site_fract_z
Hf1 0.0000 0.0000 0.0000
Zr1 0.4445 0.5000 0.5145
Zr2 0.5121 0.0000 0.1312
Ni1 0.3507 0.5000 0.8780
Ni2 0.5976 0.0000 0.7666
As1 0.2214 0.0000 0.7129
As2 0.2243 0.5000 0.1817
As3 0.7248 0.5000 0.9139
As4 0.7308 0.0000 0.4661
Pd1 0.1194 0.0000 0.3881
Pd2 0.8234 0.5000 0.2603
```

Values from the calculation:
magnetic moment: 0.0 μB per formula unit


Entry R
Entry from OQMD via LeMat-Bulk: a relaxed structure of HfZr2Ni2As4Pd2 (PBE).

The structure in CIF format:
```
data_HfZr2Ni2As4Pd2
_cell_length_a 6.6049
_cell_length_b 3.8862
_cell_length_c 7.4654
_cell_angle_alpha 90.00
_cell_angle_beta 90.92
_cell_angle_gamma 90.00
_space_group_name_H-M_alt 'P 1'
_space_group_IT_number 1
loop_
_space_group_symop_operation_xyz
'x,y,z'
loop_
_atom_site_label
_atom_site_fract_x
_atom_site_fract_y
_atom_site_fract_z
Hf1 0.0000 0.0000 0.0000
Zr1 0.0680 0.5000 0.6164
Zr2 0.5561 0.5000 0.4828
Ni1 0.1504 0.5000 0.2483
Ni2 0.9068 0.0000 0.3604
As1 0.2758 0.0000 0.4006
As2 0.2831 0.5000 0.9505
As3 0.7791 0.5000 0.1958
As4 0.7821 0.0000 0.6675
Pd1 0.3782 0.0000 0.7482
Pd2 0.6793 0.5000 0.8736
```

Values from the calculation:
magnetic moment: 0.0 μB per formula unit


Stability summary: most stable entry R, least stable entry P.